Entry 1:
A geometry-optimized YNbN2 structure. Source: Alexandria via LeMat-Bulk, functional GGA-PBE.

a b c (Å): 6.1264 6.1264 6.1264
angles (deg): 131.31 131.31 71.33
Fractional positions:
Y  0.0000  0.0000  0.0000
Y  0.7500  0.2500  0.5000
Nb  0.2500  0.7500  0.5000
Nb  0.5000  0.5000  0.0000
N  0.1679  0.6250  0.0429
N  0.3750  0.4179  0.5429
N  0.5821  0.1250  0.9571
N  0.8750  0.8321  0.4571

Calculated values
The density is 5.5 g/cm3. The calculation puts the calculated total energy at -74.811 eV/cell. The calculation puts the uncorrected formation energy at -1055 meV per atom.

***

Entry 2:
A geometry-optimized Ba2CoTe structure. Source: Alexandria via LeMat-Bulk, functional GGA-PBE.

a b c (Å): 7.3819 7.3819 7.3819
angles (deg): 147.14 140.78 52.07
Fractional positions:
Ba  0.0000  0.0000  0.0000
Ba  0.7248  0.2248  0.5000
Co  0.4411  0.4411  0.0000
Te  0.3182  0.8182  0.5000

Calculated values
The density is 5.6 g/cm3. The calculation puts the calculated total energy at -15.370 eV/cell. The calculation puts the uncorrected formation energy at -319 meV per atom.

***

Entry 3:
A geometry-optimized NaTlIn2I8 structure. Source: Alexandria via LeMat-Bulk, functional GGA-PBE.

a b c (Å): 9.5870 9.5870 9.5870
angles (deg): 102.79 102.79 123.86
Fractional positions:
Na  0.0000  0.0000  0.0000
Tl  0.7500  0.2500  0.5000
In  0.2500  0.7500  0.5000
In  0.5000  0.5000  0.0000
I  0.0650  0.3814  0.3164
I  0.0650  0.7487  0.6836
I  0.1252  0.3016  0.8236
I  0.2513  0.9350  0.3164
I  0.4779  0.3016  0.1764
I  0.6186  0.9350  0.6836
I  0.6984  0.5221  0.8236
I  0.6984  0.8748  0.1764

Calculated values
The density is 3.8 g/cm3. The calculation puts the calculated total energy at -29.189 eV/cell. The calculation puts the uncorrected formation energy at -636 meV per atom.

***

- What is the calculated total energy in the second record?
  -15.370 eV/cell

***

- Which of these has the lowest calculated total energy?
  YNbN2

***

- Which value of calculated total energy does entry 1 give?
  -74.811 eV/cell